(1)
Density functional theory data (GGA-PBE) for an optimized crystal structure of Fe2CoRe.

Cell lengths 2.6014, 3.5877, 5.0867 Å; angles 90.00, 90.00, 90.00 degrees
With the nearest neighbours (Å) after each atom.
Fractional positions:
Fe (0.0000, 0.0000, 0.9870)  4 Fe 2.41-2.68, 4 Co 2.52, 4 Re 2.59
Fe (0.0000, 0.0000, 0.5130)  4 Fe 2.41-2.68, 4 Co 2.52, 4 Re 2.59
Co (0.5000, 0.5000, 0.7500)  8 Fe 2.52, 2 Re 2.54, 2 Co 2.60
Re (0.5000, 0.5000, 0.2500)  2 Co 2.54, 8 Fe 2.59, 2 Re 2.60

Properties
ΔH_f (0 K)   0.1025 eV/atom
Volume   47 Å³ per cell

=====

(2)
Density functional theory data (GGA-PBE) for an optimized crystal structure of Fe2CoRe.

Cell lengths 4.4496, 4.4496, 4.4300 Å; angles 80.37, 80.37, 34.04 degrees
With the nearest neighbours (Å) after each atom.
Fractional positions:
Fe (0.7471, 0.7471, 0.7576)  5 Fe 2.54-2.61, 4 Co 2.54-2.60, 3 Re 2.55-2.64
Fe (0.9961, 0.9961, 0.0009)  3 Co 2.53-2.61, 5 Fe 2.54-2.61, 4 Re 2.55-2.59
Co (0.2527, 0.2527, 0.2489)  7 Fe 2.53-2.61, 3 Re 2.56, 2 Co 2.61
Re (0.5041, 0.5041, 0.4927)  7 Fe 2.55-2.64, 3 Co 2.56, 2 Re 2.61

Properties
ΔH_f (0 K)   0.1024 eV/atom
Volume   48 Å³ per cell

=====

(3)
Density functional theory data (GGA-PBE) for an optimized crystal structure of FeCo2Re.

Cell lengths 4.0835, 4.0835, 4.0835 Å; angles 60.00, 60.00, 60.00 degrees
With the nearest neighbours (Å) after each atom.
Fractional positions:
Fe (0.5000, 0.5000, 0.5000)  4 Co 2.50, 4 Re 2.50
Co (0.7500, 0.7500, 0.7500)  4 Fe 2.50, 4 Co 2.50
Co (0.0000, 0.0000, 0.0000)  4 Re 2.50, 4 Co 2.50
Re (0.2500, 0.2500, 0.2500)  4 Fe 2.50, 4 Co 2.50

Properties
ΔH_f (0 K)   0.1984 eV/atom
Volume   48 Å³ per cell
Offset from the most stable computed form   4.096 kcal/mol of atoms